Record 1
Here is a relaxed structure of La12Tl4HgO3 from the Alexandria database. Energies are from PBE.

Properties
Theoretical density (g/cm³): 7.63
SG: No. 229
Formation energy (no corrections) (kJ/mol of formula units): -1870

Unit cell a=9.174 b=9.174 c=9.174 alpha=109.47 beta=109.47 gamma=109.47
Atoms (fractional coordinates):
La 0.724 0.000 0.724
La 0.750 0.250 0.500
La 0.500 0.250 0.750
La 0.000 0.276 0.276
La 0.000 0.724 0.724
La 0.250 0.500 0.750
La 0.250 0.750 0.500
La 0.724 0.724 0.000
La 0.276 0.276 0.000
La 0.500 0.750 0.250
La 0.750 0.500 0.250
La 0.276 0.000 0.276
Tl 0.000 0.500 0.000
Tl 0.500 0.500 0.500
Tl 0.000 0.000 0.500
Tl 0.500 0.000 0.000
O 0.500 0.500 0.000
O 0.500 0.000 0.500
O 0.000 0.500 0.500
Hg 0.000 0.000 0.000

---

Record 2
Here is a relaxed structure of LaY2HgO from the Alexandria database. Energies are from PBE.

Properties
Theoretical density (g/cm³): 7.60
SG: No. 123
Formation energy (no corrections) (kJ/mol of formula units): -653

Unit cell a=4.828 b=4.828 c=4.999 alpha=90.00 beta=90.00 gamma=90.00
Atoms (fractional coordinates):
Y 0.000 0.500 0.000
Y 0.500 0.000 0.000
La 0.000 0.000 0.500
O 0.000 0.000 0.000
Hg 0.500 0.500 0.500

---

Record 3
Here is a relaxed structure of LaYHg2O from the Alexandria database. Energies are from PBE.

Properties
Theoretical density (g/cm³): 5.16
SG: No. 123
Formation energy (no corrections) (kJ/mol of formula units): 510

Unit cell a=5.807 b=6.159 c=5.807 alpha=90.00 beta=90.00 gamma=90.00
Atoms (fractional coordinates):
Hg 0.000 0.000 0.500
Hg 0.500 0.000 0.000
La 0.000 0.000 0.000
O 0.500 0.500 0.500
Y 0.000 0.500 0.000

---

Record 4
Here is a relaxed structure of La2ZrHgO from the Alexandria database. Energies are from PBE.

Properties
Theoretical density (g/cm³): 8.18
SG: No. 123
Formation energy (no corrections) (kJ/mol of formula units): -589

Unit cell a=5.210 b=5.210 c=4.379 alpha=90.00 beta=90.00 gamma=90.00
Last column: magnetic moment on the atom in μB.
Atoms (fractional coordinates):
La 0.000 0.500 0.000  0.07
La 0.500 0.000 0.000  0.07
O 0.000 0.000 0.000  -0.01
Hg 0.500 0.500 0.500  0.00
Zr 0.000 0.000 0.500  0.41